AgAuF after structural relaxation. Source: the Alexandria database, functional PBE.

The structure in POSCAR format:
```
AgAuF
1.0
4.0292 0.0000 0.0000
0.0000 4.0292 0.0000
0.0000 0.0000 6.5795
Ag Au F
2 2 2
Direct
0.2500 0.2500 0.1908
0.7500 0.7500 0.8092
0.2500 0.7500 0.5000
0.7500 0.2500 0.5000
0.7500 0.2500 0.0000
0.2500 0.7500 0.0000
```

Properties
For the uncorrected formation energy, the calculation gives -0.5642 eV per atom. The calculation puts the relative energy among the computed polymorphs at 1 meV per atom. For the total energy, the calculation gives -3.2308 eV per atom. For the total magnetic moment, the calculation gives 0.000 μB per atom. The density of states at the Fermi level comes out at 1.128 states/eV/f.u.


K4Np3CrN8 after structural relaxation. Source: the Alexandria database, functional PBE.

The structure in POSCAR format:
```
K4Np3CrN8
1.0
6.8004 0.0000 0.0000
0.0000 7.4567 0.4356
-3.4002 -3.3852 4.8214
K Np Cr N
4 3 1 8
Direct
0.5000 0.0000 0.0000
0.5000 0.0000 0.5000
0.0000 0.0000 0.0000
0.0000 0.0000 0.5000
0.5000 0.5000 0.0000
0.5000 0.5000 0.5000
0.0000 0.5000 0.5000
0.0000 0.5000 0.0000
0.2226 0.6602 0.9380
0.2225 0.6602 0.4449
0.2787 0.3366 0.5573
0.7154 0.6602 0.9380
0.2846 0.3398 0.0620
0.7213 0.6634 0.4427
0.7775 0.3398 0.5551
0.7774 0.3398 0.0620
```

Properties
For the uncorrected formation energy, the calculation gives -0.6223 eV per atom. For the total energy, the calculation gives -8.0872 eV per atom. For the total magnetic moment, the calculation gives 0.438 μB per atom. The density of states at the Fermi level comes out at 12.480 states/eV/f.u.


Hg2MoPt after structural relaxation. Source: the Alexandria database, functional PBE.

The structure in POSCAR format:
```
Hg2MoPt
1.0
-1.9024 7.3964 1.1457
-3.5352 0.1540 -6.8641
-5.0561 2.9903 -1.6730
Mo Hg Pt
2 4 2
Direct
0.5000 0.5000 0.0000
0.2500 0.7500 0.5000
0.6300 0.1250 0.2500
0.1200 0.6250 0.2500
0.3750 0.3700 0.7500
0.8750 0.8800 0.7500
0.0000 0.0000 0.0000
0.7500 0.2500 0.5000
```

Properties
The calculation puts the relative energy among the computed polymorphs at 662 meV per atom. For the total energy, the calculation gives -3.5781 eV per atom. Its formation enthalpy at 0 K is 0.7907 eV/atom. For the total magnetic moment, the calculation gives 0.449 μB per atom. The density of states at the Fermi level comes out at 4.713 states/eV/f.u.


Zr2AlV after structural relaxation. Source: the Alexandria database, functional PBE.

The structure in POSCAR format:
```
Zr2AlV
1.0
5.9805 0.0000 0.0000
0.0000 9.5859 0.0000
0.0000 0.0000 5.3329
Al Zr V
4 8 4
Direct
0.2500 0.2500 0.6577
0.7500 0.7500 0.6577
0.7500 0.2500 0.6577
0.2500 0.7500 0.6577
0.0000 0.0000 0.4393
0.5000 0.5000 0.4393
0.0000 0.7055 0.1396
0.0000 0.2945 0.1396
0.5000 0.2055 0.1396
0.5000 0.7945 0.1396
0.0000 0.5000 0.5859
0.5000 0.0000 0.5859
0.8188 0.0000 0.9546
0.1812 0.0000 0.9546
0.3188 0.5000 0.9546
0.6812 0.5000 0.9546
```

Properties
For the total energy, the calculation gives -7.6371 eV per atom. Its formation enthalpy at 0 K is -0.1477 eV/atom. For the total magnetic moment, the calculation gives 0.000 μB per atom. The density of states at the Fermi level comes out at 3.169 states/eV/f.u.


SrY2Ge after structural relaxation. Source: the Alexandria database, functional PBE.

The structure in POSCAR format:
```
SrY2Ge
1.0
-0.3576 -1.1612 5.2719
-0.7815 3.9654 3.5964
-4.7506 0.4409 2.5508
Y Sr Ge
2 1 1
Direct
0.2500 0.2500 0.2500
0.7500 0.7500 0.7500
0.5000 0.5000 0.5000
0.0000 0.0000 0.0000
```

Properties
The calculation puts the relative energy among the computed polymorphs at 139 meV per atom. For the total energy, the calculation gives -4.7762 eV per atom. Its formation enthalpy at 0 K is 0.0306 eV/atom. For the total magnetic moment, the calculation gives 0.240 μB per atom. The density of states at the Fermi level comes out at 5.214 states/eV/f.u.


Ac2NpIr2N6 after structural relaxation. Source: the Alexandria database, functional PBE.

The structure in POSCAR format:
```
Ac2NpIr2N6
1.0
5.9015 0.0000 0.0000
2.9507 5.1108 0.0000
2.9507 1.7036 5.8826
Ac Np Ir N
2 1 2 6
Direct
0.7842 0.7842 0.6474
0.2158 0.2158 0.3526
0.0000 0.0000 0.0000
0.3985 0.3985 0.8046
0.6015 0.6015 0.1954
0.7578 0.7578 0.2652
0.2191 0.7578 0.2652
0.7578 0.2191 0.2652
0.2422 0.7809 0.7348
0.7809 0.2422 0.7348
0.2422 0.2422 0.7348
```

Properties
For the uncorrected formation energy, the calculation gives -0.4675 eV per atom. For the total energy, the calculation gives -8.5431 eV per atom. For the total magnetic moment, the calculation gives 0.122 μB per atom. The density of states at the Fermi level comes out at 9.053 states/eV/f.u.


CdCuNiH6 after structural relaxation. Source: the Alexandria database, functional PBE.

The structure in POSCAR format:
```
CdCuNiH6
1.0
4.4580 0.0002 0.0004
2.2292 3.8600 0.0005
0.0006 -0.0001 4.4276
Cd Cu Ni H
1 1 1 6
Direct
0.0000 0.0000 0.0000
0.6667 0.6666 0.5000
0.3333 0.3334 0.5000
0.0274 0.3629 0.2901
0.3630 0.0273 0.7099
0.6096 0.3629 0.7099
0.0272 0.6097 0.7099
0.3630 0.6098 0.2901
0.6097 0.0273 0.2900
```

Properties
For the total energy, the calculation gives -3.2936 eV per atom. For the total magnetic moment, the calculation gives 0.000 μB per atom. The density of states at the Fermi level comes out at 2.020 states/eV/f.u.


Pm4Y2Mg after structural relaxation. Source: the Alexandria database, functional PBE.

The structure in POSCAR format:
```
Pm4Y2Mg
1.0
3.6114 0.0000 0.0000
0.0000 20.6985 -0.0002
0.0000 -0.0003 12.1707
Pm Y Mg
16 8 4
Direct
0.2500 0.9984 0.6228
0.7500 0.0016 0.3772
0.7500 0.5016 0.1228
0.2500 0.4984 0.8772
0.7500 0.9064 0.8180
0.2500 0.0936 0.1820
0.2500 0.5936 0.3180
0.7500 0.4064 0.6820
0.7500 0.7365 0.2274
0.2500 0.2635 0.7726
0.2500 0.7636 0.7274
0.7500 0.2364 0.2726
0.2500 0.8040 0.0023
0.7500 0.1960 0.9977
0.7500 0.6960 0.5023
0.2500 0.3040 0.4977
0.7500 0.9481 0.0993
0.2500 0.0519 0.9007
0.2500 0.5519 0.5993
0.7500 0.4481 0.4007
0.7500 0.8600 0.5290
0.2500 0.1400 0.4710
0.2500 0.6400 0.0290
0.7500 0.3600 0.9710
0.2500 0.8687 0.2933
0.7500 0.1313 0.7067
0.7500 0.6314 0.7933
0.2500 0.3686 0.2067
```

Properties
The calculation puts the relative energy among the computed polymorphs at 0 meV per atom. For the total energy, the calculation gives -4.7660 eV per atom. Its formation enthalpy at 0 K is 0.0233 eV/atom. For the total magnetic moment, the calculation gives 0.000 μB per atom. The density of states at the Fermi level comes out at 7.910 states/eV/f.u.


CuAg4Pd after structural relaxation. Source: the Alexandria database, functional PBE.

The structure in POSCAR format:
```
CuAg4Pd
1.0
-3.0892 -3.7248 -1.0995
3.9858 0.8575 -2.8285
2.8204 -3.8266 1.3986
Cu Ag Pd
1 4 1
Direct
0.4981 0.0027 0.0014
0.3348 0.1659 0.5013
0.6615 0.8394 0.5012
0.8331 0.6678 0.0013
0.1632 0.3377 0.0012
0.9981 0.5027 0.5013
```

Properties
The calculation puts the relative energy among the computed polymorphs at 0 meV per atom. For the total energy, the calculation gives -3.4230 eV per atom. Its formation enthalpy at 0 K is 0.0260 eV/atom. For the total magnetic moment, the calculation gives 0.000 μB per atom. The density of states at the Fermi level comes out at 1.789 states/eV/f.u.


TiFe2TcHg after structural relaxation. Source: the Alexandria database, functional PBE.

The structure in POSCAR format:
```
TiFe2TcHg
1.0
4.6203 0.0000 0.0000
0.0000 4.8709 0.0000
0.0000 0.0000 4.6203
Fe Ti Hg Tc
2 1 1 1
Direct
0.0000 0.0000 0.5000
0.5000 0.0000 0.0000
0.0000 0.5000 0.0000
0.0000 0.0000 0.0000
0.5000 0.5000 0.5000
```

Properties
For the total energy, the calculation gives -4.8470 eV per atom. Its formation enthalpy at 0 K is 2.2507 eV/atom. For the total magnetic moment, the calculation gives 0.320 μB per atom. The density of states at the Fermi level comes out at 12.517 states/eV/f.u.


Ce2SmZn2Cu2 after structural relaxation. Source: the Alexandria database, functional PBE.

The structure in POSCAR format:
```
Ce2SmZn2Cu2
1.0
4.3265 0.0000 0.0000
2.1633 3.7469 0.0000
2.1633 1.2490 8.8966
Ce Sm Zn Cu
2 1 2 2
Direct
0.1392 0.1392 0.5823
0.8608 0.8608 0.4177
0.0000 0.0000 0.0000
0.7390 0.7390 0.7830
0.2610 0.2610 0.2170
0.5933 0.5933 0.2202
0.4067 0.4067 0.7798
```

Properties
For the total energy, the calculation gives -4.1238 eV per atom. Its formation enthalpy at 0 K is -0.2200 eV/atom. For the total magnetic moment, the calculation gives 0.000 μB per atom. The density of states at the Fermi level comes out at 7.412 states/eV/f.u.


Ce2ErLu after structural relaxation. Source: the Alexandria database, functional PBE.

The structure in POSCAR format:
```
Ce2ErLu
1.0
-2.6865 4.7105 -1.3141
-2.8116 0.3604 -4.8061
-5.5780 0.1329 0.0343
Lu Ce Er
1 2 1
Direct
0.5000 0.5000 0.5000
0.2500 0.2500 0.2500
0.7500 0.7500 0.7500
0.0000 0.0000 0.0000
```

Properties
The calculation puts the relative energy among the computed polymorphs at 95 meV per atom. For the total energy, the calculation gives -5.0426 eV per atom. Its formation enthalpy at 0 K is 0.1953 eV/atom. For the total magnetic moment, the calculation gives 0.370 μB per atom. The density of states at the Fermi level comes out at 13.187 states/eV/f.u.